Compound: FeRhN2F
Source: the Alexandria database
Functional: PBE+U
Structure: relaxed

```
5
Lattice="3.870 0.000 0.000 0.000 3.870 0.000 0.000 0.000 3.778" Properties=species:S:1:pos:R:3 pbc="T T T"
Fe 0.000 0.000 0.000
Rh 1.935 1.935 1.889
N 0.000 1.935 0.000
N 1.935 0.000 0.000
F 0.000 0.000 1.889
```

Values from the calculation:
* DFT total energy: -5.447 eV/atom
* calculated volume: 11.3 Å³ per atom
* relative energy among the computed polymorphs: 178.9 meV/atom